The following is a DFT calculation (PBE) of a relaxed AsOsI3 crystal.

Summary:
As for the calculated density: 5.9 g/cm³. Its formation energy from raw total energies is 1469 meV/atom. Its calculated volume is 36.50 A^3/atom. As for the total moment: 4.570 μB/f.u. As for the crystal system: cubic.

The structure in CIF format:
```
data_AsOsI3
_chemical_formula_sum 'As1 Os1 I3'
_cell_length_a 5.6723
_cell_length_b 5.6723
_cell_length_c 5.6723
_cell_angle_alpha 90.00
_cell_angle_beta 90.00
_cell_angle_gamma 90.00
_space_group_name_H-M_alt 'P 1'
_space_group_IT_number 1
loop_
_space_group_symop_operation_xyz
'x,y,z'
loop_
_atom_site_label
_atom_site_type_symbol
_atom_site_fract_x
_atom_site_fract_y
_atom_site_fract_z
As1 As 0.0000 0.0000 0.0000
Os1 Os 0.5000 0.5000 0.5000
I1 I 0.0000 0.0000 0.5000
I2 I 0.0000 0.5000 0.0000
I3 I 0.5000 0.0000 0.0000
```

***

The following is a DFT calculation (PBE) of a relaxed As2OsI crystal.

Summary:
As for the calculated density: 6.6 g/cm³. Its formation energy from raw total energies is 392 meV/atom. Its calculated volume is 29.38 A^3/atom. As for the total moment: 0.000 μB/f.u. As for the crystal system: tetragonal.

The structure in CIF format:
```
data_As2OsI
_chemical_formula_sum 'As4 Os2 I2'
_cell_length_a 7.0691
_cell_length_b 7.0691
_cell_length_c 7.0691
_cell_angle_alpha 123.52
_cell_angle_beta 123.52
_cell_angle_gamma 84.00
_space_group_name_H-M_alt 'P 1'
_space_group_IT_number 1
loop_
_space_group_symop_operation_xyz
'x,y,z'
loop_
_atom_site_label
_atom_site_type_symbol
_atom_site_fract_x
_atom_site_fract_y
_atom_site_fract_z
As1 As 0.0161 0.6250 0.8911
As2 As 0.3750 0.2661 0.3911
As3 As 0.7339 0.1250 0.1089
As4 As 0.8750 0.9839 0.6089
Os1 Os 0.0000 0.0000 0.0000
Os2 Os 0.7500 0.2500 0.5000
I1 I 0.2500 0.7500 0.5000
I2 I 0.5000 0.5000 0.0000
```

***

The following is a DFT calculation (PBE) of a relaxed AsOsI2 crystal.

Summary:
As for the calculated density: 9.9 g/cm³. Its formation energy from raw total energies is 1437 meV/atom. Its calculated volume is 21.86 A^3/atom. As for the total moment: 0.576 μB/f.u. As for the crystal system: cubic.

The structure in CIF format:
```
data_AsOsI2
_chemical_formula_sum 'As1 Os1 I2'
_cell_length_a 4.9821
_cell_length_b 4.9821
_cell_length_c 4.9821
_cell_angle_alpha 60.00
_cell_angle_beta 60.00
_cell_angle_gamma 60.00
_space_group_name_H-M_alt 'P 1'
_space_group_IT_number 1
loop_
_space_group_symop_operation_xyz
'x,y,z'
loop_
_atom_site_label
_atom_site_type_symbol
_atom_site_fract_x
_atom_site_fract_y
_atom_site_fract_z
As1 As 0.0000 0.0000 0.0000
Os1 Os 0.5000 0.5000 0.5000
I1 I 0.2500 0.2500 0.2500
I2 I 0.7500 0.7500 0.7500
```

***

The following is a DFT calculation (PBE) of a relaxed AsOsI3 crystal.

Summary:
As for the calculated density: 7.1 g/cm³. Its formation energy from raw total energies is 977 meV/atom. Its calculated volume is 30.34 A^3/atom. As for the total moment: 0.000 μB/f.u. As for the crystal system: cubic.

The structure in CIF format:
```
data_AsOsI3
_chemical_formula_sum 'As1 Os1 I3'
_cell_length_a 5.3333
_cell_length_b 5.3333
_cell_length_c 5.3333
_cell_angle_alpha 90.00
_cell_angle_beta 90.00
_cell_angle_gamma 90.00
_space_group_name_H-M_alt 'P 1'
_space_group_IT_number 1
loop_
_space_group_symop_operation_xyz
'x,y,z'
loop_
_atom_site_label
_atom_site_type_symbol
_atom_site_fract_x
_atom_site_fract_y
_atom_site_fract_z
As1 As 0.0000 0.0000 0.0000
Os1 Os 0.5000 0.5000 0.5000
I1 I 0.0000 0.5000 0.5000
I2 I 0.5000 0.0000 0.5000
I3 I 0.5000 0.5000 0.0000
```

***

- What is the calculated volume in the fourth record?
  30.34 A^3/atom